(1)
Pm2Sm2Ho4Er after structural relaxation. Source: Alexandria via LeMat-Bulk, functional PBE.

Unit cell a=3.605 b=9.525 c=9.588 alpha=115.24 beta=90.00 gamma=100.91
Sites, in units of the cell vectors:
Pm 0.335 0.670 0.999
Pm 0.665 0.330 0.001
Sm 0.853 0.706 0.337
Sm 0.147 0.294 0.663
Ho 0.815 0.630 0.665
Ho 0.185 0.370 0.335
Ho 0.519 0.038 0.332
Ho 0.481 0.962 0.668
Er 0.000 0.000 0.000

Results
Crystal system: monoclinic
E_form (eV per formula unit): 0.024

***

(2)
ZnIn2As after structural relaxation. Source: Alexandria via LeMat-Bulk, functional PBE.

Unit cell a=3.930 b=2.903 c=7.943 alpha=89.98 beta=90.00 gamma=90.00
Sites, in units of the cell vectors:
As 0.500 0.750 0.750
In 0.000 0.750 0.015
In 0.000 0.750 0.485
Zn 0.500 0.250 0.250

Results
Crystal system: orthorhombic
E_form (eV per formula unit): 0.305
Offset from the most stable computed form (eV/atom): 0.034

***

(3)
MnZnCu after structural relaxation. Source: Alexandria via LeMat-Bulk, functional PBE.

Unit cell a=4.204 b=4.204 c=2.636 alpha=90.00 beta=90.00 gamma=120.00
Last column: magnetic moment on the atom in μB.
Sites, in units of the cell vectors:
Cu 0.000 0.000 0.840  0.07
Mn 0.667 0.333 0.333  3.35
Zn 0.333 0.667 0.827  -0.06

Results
Crystal system: trigonal
E_form (eV per formula unit): 0.214

***

(4)
TmAsO after structural relaxation. Source: Alexandria via LeMat-Bulk, functional PBE.

Unit cell a=6.916 b=6.916 c=7.411 alpha=116.42 beta=116.42 gamma=92.66
Sites, in units of the cell vectors:
Tm 0.710 0.290 0.000
Tm 0.960 0.040 0.500
Tm 0.290 0.710 0.000
Tm 0.540 0.460 0.500
As 0.897 0.897 0.794
As 0.103 0.103 0.206
As 0.147 0.647 0.294
As 0.353 0.853 0.706
O 0.625 0.375 0.750
O 0.125 0.375 0.750
O 0.625 0.875 0.250
O 0.625 0.375 0.250

Results
Crystal system: orthorhombic
ΔE_f (raw) (eV per atom): -1.782